This record from Alexandria via LeMat-Bulk describes a relaxed structure of YZn2Si. The functional is GGA-PBE.

Unit cell a=3.3392 b=4.2790 c=5.4373 alpha=90.00 beta=90.02 gamma=90.00
Last column: nearest neighbours and their distance in Å.
Space group Pm (No. 6)
Asymmetric unit:
Y 0.0000 0.0000 0.0000 (multiplicity 1)  4 Si 2.98, 8 Zn 3.08-3.22
Zn 0.4991 0.5000 0.7327 (multiplicity 1)  2 Zn 2.50, 2 Si 2.68-2.75
Zn 0.5002 0.0000 0.4933 (multiplicity 1)  2 Zn 2.50, 2 Si 2.59
Si 0.5007 0.5000 0.2262 (multiplicity 1)  4 Zn 2.59-2.75

Properties
N(E_F): 1.8 states/eV/cell
E: -3.836 eV/atom
raw formation energy: -0.228 eV per atom